(1)
Rb6InHg4 PBE optimized geometry; E_tot = -1.051 eV per atom; formation enthalpy at 0 K = -0.165 eV/atom
1.0
-2.509 -7.988 3.189
9.445 -0.103 7.176
-10.231 4.703 3.730
Rb In Hg
12 2 8
Cartesian
-3.090 0.342 9.955
-2.619 -2.418 3.413
-8.756 0.404 5.650
-1.249 -7.052 5.467
-1.721 -4.292 12.009
4.417 -7.114 9.771
2.478 -2.972 10.545
2.802 -4.869 6.047
-1.417 -2.930 7.585
-5.207 1.387 2.830
-5.531 3.285 7.328
-1.312 1.345 5.790
-5.530 -2.813 7.240
2.283 -0.421 6.794
-4.694 -0.149 6.176
0.611 -5.745 8.919
-4.637 -3.102 10.054
-4.317 -4.976 5.612
-8.485 -3.060 7.131
0.825 -1.932 4.698
0.504 -0.058 9.140
4.672 -1.974 7.621

=====

(2)
Sc2TlGe PBE optimized geometry; E_tot = -5.309 eV per atom; formation enthalpy at 0 K = -0.397 eV/atom
1.0
-3.466 1.679 -1.190
-0.797 -3.594 -2.746
-2.205 -2.126 3.423
Sc Tl Ge
2 1 1
Cartesian
-1.103 -1.063 1.711
-0.399 -1.797 -1.373
-1.733 0.839 -0.595
-3.234 -2.021 -0.257

=====

(3)
TbDyCdHg PBE optimized geometry; E_tot = -3.008 eV per atom; formation enthalpy at 0 K = -0.396 eV/atom
1.0
5.286 0.000 0.000
2.643 4.578 0.000
2.643 1.526 4.316
Cd Tb Hg Dy
1 1 1 1
Cartesian
0.000 0.000 0.000
2.643 1.526 1.079
5.286 3.052 2.158
7.929 4.578 3.237

=====

Among the records above, which one has the lowest E_tot?
Sc2TlGe

=====

Repeat the first record exactly.
Rb6InHg4 PBE optimized geometry; E_tot = -1.051 eV per atom; formation enthalpy at 0 K = -0.165 eV/atom
1.0
-2.509 -7.988 3.189
9.445 -0.103 7.176
-10.231 4.703 3.730
Rb In Hg
12 2 8
Cartesian
-3.090 0.342 9.955
-2.619 -2.418 3.413
-8.756 0.404 5.650
-1.249 -7.052 5.467
-1.721 -4.292 12.009
4.417 -7.114 9.771
2.478 -2.972 10.545
2.802 -4.869 6.047
-1.417 -2.930 7.585
-5.207 1.387 2.830
-5.531 3.285 7.328
-1.312 1.345 5.790
-5.530 -2.813 7.240
2.283 -0.421 6.794
-4.694 -0.149 6.176
0.611 -5.745 8.919
-4.637 -3.102 10.054
-4.317 -4.976 5.612
-8.485 -3.060 7.131
0.825 -1.932 4.698
0.504 -0.058 9.140
4.672 -1.974 7.621